Computed, not measured: a relaxed structure of CeSiNi2N at the PBE level of DFT.

abc: 5.9116 5.9116 6.8276
angles: 90.00 90.00 145.77
Fractional coordinates of all 10 atoms:
Ce (0.0354, 0.9646, 0.7500)
Ce (0.9646, 0.0354, 0.2500)
Si (0.2337, 0.7663, 0.2500)
Si (0.7663, 0.2337, 0.7500)
Ni (0.3294, 0.6706, 0.5537)
Ni (0.3294, 0.6706, 0.9463)
Ni (0.6706, 0.3294, 0.0537)
Ni (0.6706, 0.3294, 0.4463)
N (0.5000, 0.5000, 0.0000)
N (0.5000, 0.5000, 0.5000)

SG: Cmcm (63)
E_form (uncorrected): -0.90 eV/atom
Crystal system: orthorhombic
Density: 7.41 g/cm³